No. 1
Here is a crystal of K2YCd relaxed with PBEsol from Alexandria via LeMat-Bulk. Energies are from meta-GGA SCAN.

Structure (POSCAR):
```
K2YCd
1.0
3.8717 0.0000 0.0000
-1.9359 3.3530 0.0000
0.0000 0.0000 37.5900
K Y Cd
6 3 3
Direct
0.0000 0.0000 0.0000 K
0.0000 0.0000 0.2239 K
0.3333 0.6667 0.6667 K
0.3333 0.6667 0.8906 K
0.6667 0.3333 0.3333 K
0.6667 0.3333 0.5572 K
0.0000 0.0000 0.7598 Y
0.3333 0.6667 0.4264 Y
0.6667 0.3333 0.0931 Y
0.0000 0.0000 0.4838 Cd
0.3333 0.6667 0.1505 Cd
0.6667 0.3333 0.8172 Cd
```

DOS(E_F) = 4.01 states/eV/f.u.
Uncorrected energy = -74.2 eV/f.u.
Calculated volume = 40.7 A^3/atom
Space-group type = R3m
Calculated density = 2.85 g cm⁻³

No. 2
Here is a crystal of YZrAl2 relaxed with PBEsol from Alexandria via LeMat-Bulk. Energies are from meta-GGA SCAN.

Structure (POSCAR):
```
YZrAl2
1.0
5.2184 0.0000 0.0000
0.0000 3.1119 0.0000
-2.3051 0.0000 5.3779
Y Zr Al
1 1 2
Direct
0.0000 0.0000 0.0000 Y
0.5000 0.5000 0.5000 Zr
0.0000 0.0000 0.5000 Al
0.5000 0.5000 0.0000 Al
```

DOS(E_F) = 2.33 states/eV/f.u.
Calculated volume = 21.8 A^3/atom
Space-group type = P2/m
Calculated density = 4.45 g cm⁻³
E above lowest polymorph = 273.3 meV per atom

No. 3
Here is a crystal of LaCr2Si2C relaxed with PBEsol from Alexandria via LeMat-Bulk. Energies are from meta-GGA SCAN.

Structure (POSCAR):
```
LaCr2Si2C
1.0
3.9695 0.0000 0.0000
0.0000 3.9695 0.0000
0.0000 0.0000 5.3826
La Cr Si C
1 2 2 1
Direct
0.0000 0.0000 0.0000 La
0.0000 0.5000 0.5000 Cr
0.5000 0.0000 0.5000 Cr
0.5000 0.5000 0.2384 Si
0.5000 0.5000 0.7616 Si
0.0000 0.0000 0.5000 C
```

Formation energy (no corrections) = -453 meV/atom
DOS(E_F) = 3.38 states/eV/f.u.
Calculated volume = 14.1 A^3/atom
Space-group type = P4/mmm
Calculated density = 6.09 g cm⁻³

No. 4
Here is a crystal of MgCoSe relaxed with PBEsol from Alexandria via LeMat-Bulk. Energies are from meta-GGA SCAN.

Structure (POSCAR):
```
MgCoSe
1.0
3.8529 0.0000 0.0000
-1.9265 3.3367 0.0000
0.0000 0.0000 3.7390
Mg Co Se
1 1 1
Direct
0.0000 0.0000 0.0000 Mg
0.6667 0.3333 0.5000 Co
0.3333 0.6667 0.5000 Se
```

Formation energy (no corrections) = -223 meV/atom
DOS(E_F) = 2.14 states/eV/f.u.
Calculated volume = 16.0 A^3/atom
Space-group type = P-6m2
Calculated density = 5.60 g cm⁻³
E above lowest polymorph = 0.0 meV per atom

No. 5
Here is a crystal of CdNiHg relaxed with PBEsol from Alexandria via LeMat-Bulk. Energies are from meta-GGA SCAN.

Structure (POSCAR):
```
CdNiHg
1.0
6.2088 0.0000 0.0000
0.0000 6.2088 0.0000
0.0000 0.0000 6.2088
Cd Ni Hg
4 4 4
Direct
0.0000 0.0000 0.0000 Cd
0.0000 0.5000 0.5000 Cd
0.5000 0.0000 0.5000 Cd
0.5000 0.5000 0.0000 Cd
0.0000 0.0000 0.5000 Ni
0.0000 0.5000 0.0000 Ni
0.5000 0.0000 0.0000 Ni
0.5000 0.5000 0.5000 Ni
0.2500 0.2500 0.7500 Hg
0.2500 0.7500 0.2500 Hg
0.7500 0.2500 0.2500 Hg
0.7500 0.7500 0.7500 Hg
```

DOS(E_F) = 1.95 states/eV/f.u.
Calculated volume = 19.9 A^3/atom
Space-group type = F-43m
Calculated density = 10.32 g cm⁻³
E above lowest polymorph = 0.0 meV per atom

No. 6
Here is a crystal of FeCu2Ir relaxed with PBEsol from Alexandria via LeMat-Bulk. Energies are from meta-GGA SCAN.

Structure (POSCAR):
```
FeCu2Ir
1.0
3.6848 0.0000 0.0000
0.0000 3.6848 0.0000
0.0000 0.0000 7.1607
Fe Cu Ir
2 4 2
Direct
0.0000 0.0000 0.0000 Fe
0.5000 0.5000 0.5000 Fe
0.0000 0.0000 0.5000 Cu
0.0000 0.5000 0.2500 Cu
0.5000 0.0000 0.7500 Cu
0.5000 0.5000 0.0000 Cu
0.0000 0.5000 0.7500 Ir
0.5000 0.0000 0.2500 Ir
```

DOS(E_F) = 2.23 states/eV/f.u.
Calculated volume = 12.2 A^3/atom
Space-group type = I-4m2
Calculated density = 12.81 g cm⁻³
E above lowest polymorph = 0.0 meV per atom

No. 7
Here is a crystal of Sr2LiFeBi relaxed with PBEsol from Alexandria via LeMat-Bulk. Energies are from meta-GGA SCAN.

Structure (POSCAR):
```
Sr2LiFeBi
1.0
5.5524 0.0000 0.0000
0.0000 5.5524 0.0000
0.0000 0.0000 4.8230
Sr Li Fe Bi
2 1 1 1
Direct
0.0000 0.5000 0.0000 Sr
0.5000 0.0000 0.0000 Sr
0.0000 0.0000 0.5000 Li
0.0000 0.0000 0.0000 Fe
0.5000 0.5000 0.5000 Bi
```

DOS(E_F) = 2.43 states/eV/f.u.
Uncorrected energy = -142.8 eV/f.u.
Calculated volume = 29.7 A^3/atom
Space-group type = P4/mmm
Calculated density = 4.99 g cm⁻³

No. 8
Here is a crystal of ZnMo relaxed with PBEsol from Alexandria via LeMat-Bulk. Energies are from meta-GGA SCAN.

Structure (POSCAR):
```
ZnMo
1.0
2.7389 0.0000 0.0000
-1.3694 2.3719 0.0000
0.0000 0.0000 9.0743
Zn Mo
2 2
Direct
0.3333 0.6667 0.3808 Zn
0.6667 0.3333 0.6192 Zn
0.3333 0.6667 0.8691 Mo
0.6667 0.3333 0.1309 Mo
```

DOS(E_F) = 1.36 states/eV/f.u.
Calculated volume = 14.7 A^3/atom
Space-group type = P-3m1
Calculated density = 9.09 g cm⁻³
E above lowest polymorph = 188.6 meV per atom

No. 9
Here is a crystal of LaAgTeRh2 relaxed with PBEsol from Alexandria via LeMat-Bulk. Energies are from meta-GGA SCAN.

Structure (POSCAR):
```
LaAgTeRh2
1.0
4.8766 0.0000 0.0000
0.0000 4.8766 0.0000
0.0000 0.0000 4.9815
La Ag Te Rh
1 1 1 2
Direct
0.0000 0.0000 0.0000 La
0.5000 0.5000 0.5000 Ag
0.5000 0.5000 0.0000 Te
0.0000 0.5000 0.5000 Rh
0.5000 0.0000 0.5000 Rh
```

Formation energy (no corrections) = 366 meV/atom
DOS(E_F) = 5.00 states/eV/f.u.
Calculated volume = 23.7 A^3/atom
Space-group type = P4/mmm
Calculated density = 8.13 g cm⁻³

No. 10
Here is a crystal of YCuS2 relaxed with PBEsol from Alexandria via LeMat-Bulk. Energies are from meta-GGA SCAN.

Structure (POSCAR):
```
YCuS2
1.0
13.2782 0.0000 0.0000
0.0000 3.8904 0.0000
0.0000 0.0000 6.1671
Y Cu S
4 4 8
Direct
0.1326 0.2500 0.0024 Y
0.3674 0.7500 0.5024 Y
0.6326 0.2500 0.4976 Y
0.8674 0.7500 0.9976 Y
0.0420 0.7500 0.3704 Cu
0.4580 0.2500 0.8704 Cu
0.5420 0.7500 0.1296 Cu
0.9580 0.2500 0.6296 Cu
0.0412 0.7500 0.7499 S
0.2032 0.7500 0.2469 S
0.2968 0.2500 0.7469 S
0.4588 0.2500 0.2499 S
0.5412 0.7500 0.7501 S
0.7032 0.7500 0.2531 S
0.7968 0.2500 0.7531 S
0.9588 0.2500 0.2501 S
```

Formation energy (no corrections) = -1595 meV/atom
DOS(E_F) = 0.00 states/eV/f.u.
Calculated volume = 19.9 A^3/atom
Space-group type = Pnma
Calculated density = 4.52 g cm⁻³

No. 11
Here is a crystal of KCaNi relaxed with PBEsol from Alexandria via LeMat-Bulk. Energies are from meta-GGA SCAN.

Structure (POSCAR):
```
KCaNi
1.0
7.1008 0.0000 0.0000
0.0000 7.1008 0.0000
0.0000 0.0000 7.1008
K Ca Ni
4 4 4
Direct
0.0000 0.0000 0.0000 K
0.0000 0.5000 0.5000 K
0.5000 0.0000 0.5000 K
0.5000 0.5000 0.0000 K
0.0000 0.0000 0.5000 Ca
0.0000 0.5000 0.0000 Ca
0.5000 0.0000 0.0000 Ca
0.5000 0.5000 0.5000 Ca
0.2500 0.2500 0.7500 Ni
0.2500 0.7500 0.2500 Ni
0.7500 0.2500 0.2500 Ni
0.7500 0.7500 0.7500 Ni
```

DOS(E_F) = 3.32 states/eV/f.u.
Uncorrected energy = -32.4 eV/f.u.
Calculated volume = 29.8 A^3/atom
Space-group type = F-43m
Calculated density = 2.56 g cm⁻³

No. 12
Here is a crystal of Y2MnAu relaxed with PBEsol from Alexandria via LeMat-Bulk. Energies are from meta-GGA SCAN.

Structure (POSCAR):
```
Y2MnAu
1.0
3.4656 0.0000 0.0000
0.0000 3.4656 0.0000
0.0000 0.0000 7.5750
Y Mn Au
2 1 1
Direct
0.0000 0.0000 0.0000 Y
0.5000 0.5000 0.3633 Y
0.5000 0.5000 0.7648 Mn
0.0000 0.0000 0.5910 Au
```

DOS(E_F) = 3.06 states/eV/f.u.
Calculated volume = 22.7 A^3/atom
Space-group type = P4mm
Calculated density = 7.84 g cm⁻³
E above lowest polymorph = 113.4 meV per atom

Question: Which value of calculated density does entry 12 give?
Answer: 7.84 g cm⁻³